1.
Here is NaTh2F7 after structural relaxation from Alexandria via LeMat-Bulk. Energies are from PBE.

Cell lengths 4.1709, 4.1722, 11.5057 Å; angles 79.67, 79.64, 60.03 degrees
With the nearest neighbours (Å) after each atom.
Space group P1 (No. 1)
Asymmetric unit:
Na 0.0000 0.0000 0.0000 [1 per cell]  2 F 2.30
Th 0.4295 0.4288 0.7068 [1 per cell]  5 F 2.26-2.41
Th 0.5686 0.5724 0.2932 [1 per cell]  5 F 2.26-2.41
F 0.0670 0.0666 0.7953 [1 per cell]  1 Na 2.30
F 0.2307 0.2344 0.3068 [1 per cell]  3 Th 2.41, 3 F 2.67
F 0.3631 0.3634 0.9073 [1 per cell]  1 Th 2.26
F 0.4988 0.5012 0.5000 [1 per cell]  2 Th 2.33
F 0.6351 0.6375 0.0928 [1 per cell]  1 Th 2.26
F 0.7674 0.7668 0.6932 [1 per cell]  3 Th 2.41, 3 F 2.67
F 0.9313 0.9343 0.2047 [1 per cell]  1 Na 2.30

E_form (uncorrected)	-3.444	eV per atom

---

2.
Here is Na2ThF6 after structural relaxation from Alexandria via LeMat-Bulk. Energies are from PBE.

Cell lengths 4.1027, 5.6219, 11.6695 Å; angles 90.00, 90.00, 90.00 degrees
With the nearest neighbours (Å) after each atom.
Space group Immm (No. 71)
Asymmetric unit:
Na 0.0000 0.0000 0.1740 [4 per cell]  8 F 2.42-2.54
Th 0.0000 0.0000 0.5000 [2 per cell]  8 F 2.27-2.42
F 0.0000 0.2440 0.3448 [8 per cell]  1 Th 2.27, 3 Na 2.42-2.52
F 0.0000 0.2707 0.0000 [4 per cell]  2 Th 2.42, 2 Na 2.54, 1 F 2.58

E_form (uncorrected)	-3.560	eV per atom

---

3.
Here is Na6ThF12 after structural relaxation from Alexandria via LeMat-Bulk. Energies are from PBE.

Cell lengths 7.8212, 7.8212, 7.8212 Å; angles 90.00, 90.00, 90.00 degrees
With the nearest neighbours (Å) after each atom.
Space group Im-3 (No. 204)
Asymmetric unit:
Na 0.0000 0.1677 0.5000 [12 per cell]  6 F 2.18-2.44
Th 0.0000 0.0000 0.0000 [2 per cell]  12 F 2.54
F 0.0000 0.2863 0.1525 [24 per cell]  3 Na 2.18-2.44, 1 F 2.39

E_form (uncorrected)	-2.636	eV per atom

---

4.
Here is Na2ThF6 after structural relaxation from Alexandria via LeMat-Bulk. Energies are from PBE.

Cell lengths 6.0736, 6.0736, 3.8656 Å; angles 90.00, 90.00, 120.00 degrees
With the nearest neighbours (Å) after each atom.
Space group P321 (No. 150)
Asymmetric unit:
Na 0.3333 0.6667 0.4024 [2 per cell]  6 F 2.34-2.46
Th 0.0000 0.0000 0.0000 [1 per cell]  9 F 2.27-2.46
F 0.0000 0.2516 0.5000 [3 per cell]  2 Na 2.34, 2 Th 2.46
F 0.0000 0.6256 0.0000 [3 per cell]  1 Th 2.27, 2 Na 2.46

E_form (uncorrected)	-3.562	eV per atom

---

5.
Here is Na2ThF6 after structural relaxation from Alexandria via LeMat-Bulk. Energies are from PBE.

Cell lengths 6.8643, 11.8491, 6.9631 Å; angles 90.00, 108.84, 90.00 degrees
With the nearest neighbours (Å) after each atom.
Space group C2/c (No. 15)
Asymmetric unit:
Na 0.0000 0.0800 0.2500 [4 per cell]  8 F 2.43-2.57
Na 0.0000 0.2405 0.7500 [4 per cell]  8 F 2.44-2.53
Th 0.0000 0.4069 0.2500 [4 per cell]  8 F 2.27-2.45
F 0.1040 0.4209 0.6142 [8 per cell]  2 Th 2.41-2.45, 2 Na 2.53-2.57, 1 F 2.57
F 0.1169 0.2526 0.1270 [8 per cell]  1 Th 2.27, 3 Na 2.45-2.49
F 0.1512 0.0795 0.6312 [8 per cell]  1 Th 2.27, 3 Na 2.43-2.52

E_form (uncorrected)	-3.562	eV per atom

---

6.
Here is NaThF5 after structural relaxation from Alexandria via LeMat-Bulk. Energies are from PBE.

Cell lengths 7.2403, 6.6507, 8.1223 Å; angles 90.00, 93.88, 90.00 degrees
With the nearest neighbours (Å) after each atom.
Space group C2/c (No. 15)
Asymmetric unit:
Na 0.0000 0.0000 0.0000 [4 per cell]  6 F 2.33-2.49
Th 0.0000 0.4941 0.2500 [4 per cell]  7 F 2.23-2.44
F 0.0000 0.1713 0.7500 [4 per cell]  1 Th 2.23, 2 Na 2.33
F 0.1623 0.4284 0.5048 [8 per cell]  2 Th 2.35-2.44, 1 Na 2.49, 1 F 2.53
F 0.1641 0.2131 0.1841 [8 per cell]  1 Th 2.30, 1 Na 2.33, 1 F 2.57

E_form (uncorrected)	-3.703	eV per atom

---

7.
Here is Na3ThF8 after structural relaxation from Alexandria via LeMat-Bulk. Energies are from PBE.

Cell lengths 5.6058, 5.6058, 5.6058 Å; angles 90.00, 90.00, 90.00 degrees
With the nearest neighbours (Å) after each atom.
Space group Pm-3m (No. 221)
Asymmetric unit:
Na 0.0000 0.0000 0.5000 [3 per cell]  8 F 2.46
Th 0.5000 0.5000 0.5000 [1 per cell]  8 F 2.34
F 0.2594 0.2594 0.2594 [8 per cell]  1 Th 2.34, 3 Na 2.46

E_form (uncorrected)	-3.108	eV per atom

---

8.
Here is NaThTlF6 after structural relaxation from Alexandria via LeMat-Bulk. Energies are from PBE.

Cell lengths 6.2913, 6.2913, 11.1382 Å; angles 90.00, 90.00, 120.00 degrees
With the nearest neighbours (Å) after each atom.
Space group P-31c (No. 163)
Asymmetric unit:
Na 0.3333 0.6667 0.2500 [2 per cell]  6 F 2.37
Th 0.3333 0.6667 0.7500 [2 per cell]  6 F 2.25
Tl 0.0000 0.0000 0.0000 [2 per cell]  6 F 2.84
F 0.0145 0.3789 0.6444 [12 per cell]  1 Th 2.25, 1 Na 2.37

E_form (uncorrected)	-3.296	eV per atom

---

9.
Here is Na3TiF6 after structural relaxation from Alexandria via LeMat-Bulk. Energies are from PBE.

Cell lengths 6.9980, 8.0142, 10.6905 Å; angles 90.00, 90.00, 90.00 degrees
With the nearest neighbours (Å) after each atom.
Space group Fmmm (No. 69)
Asymmetric unit:
Na 0.0000 0.0000 0.0000 [4 per cell]  2 F 2.11
Na 0.2500 0.2500 0.2500 [8 per cell]  4 F 2.40
Ti 0.0000 0.0000 0.5000 [4 per cell]  6 F 1.90-2.04
F 0.0000 0.2368 0.5000 [8 per cell]  1 Ti 1.90, 1 Na 2.11
F 0.2153 0.0000 0.3714 [16 per cell]  1 Ti 2.04

E_form (uncorrected)	-2.917	eV per atom

---

10.
Here is Na2TiF6 after structural relaxation from Alexandria via LeMat-Bulk. Energies are from PBE.

Cell lengths 9.3329, 9.3329, 5.1854 Å; angles 90.00, 90.00, 120.00 degrees
With the nearest neighbours (Å) after each atom.
Space group P321 (No. 150)
Asymmetric unit:
Na 0.0000 0.2900 0.0000 [3 per cell]  6 F 2.25-2.38
Na 0.0000 0.6281 0.5000 [3 per cell]  6 F 2.34-2.43
Ti 0.0000 0.0000 0.5000 [1 per cell]  6 F 1.89
Ti 0.3333 0.6667 0.9952 [2 per cell]  6 F 1.90
F 0.0844 0.8922 0.7077 [6 per cell]  1 Ti 1.89
F 0.1423 0.5499 0.7865 [6 per cell]  1 Ti 1.90
F 0.2237 0.7493 0.2034 [6 per cell]  1 Ti 1.90

E_form (uncorrected)	-3.215	eV per atom

---

11.
Here is Na3TiF8 after structural relaxation from Alexandria via LeMat-Bulk. Energies are from PBE.

Cell lengths 5.3063, 5.3063, 5.3063 Å; angles 90.00, 90.00, 90.00 degrees
With the nearest neighbours (Å) after each atom.
Space group Pm-3m (No. 221)
Asymmetric unit:
Na 0.0000 0.0000 0.5000 [3 per cell]  8 F 2.40
Ti 0.5000 0.5000 0.5000 [1 per cell]  8 F 2.04
F 0.2783 0.2783 0.2783 [8 per cell]  1 Ti 2.04

E_form (uncorrected)	-2.709	eV per atom

---

12.
Here is NaTi2F8 after structural relaxation from Alexandria via LeMat-Bulk. Energies are from PBE.

Cell lengths 10.3828, 6.0616, 5.2223 Å; angles 90.00, 99.18, 90.00 degrees
With the nearest neighbours (Å) after each atom.
Space group C2/m (No. 12)
Asymmetric unit:
Na 0.0000 0.0000 0.0000 [2 per cell]  2 F 2.20
Ti 0.2348 0.5000 0.4886 [4 per cell]  4 F 1.81-2.02
F 0.1208 0.5000 0.7164 [4 per cell]  1 Ti 1.81
F 0.1492 0.2293 0.3087 [8 per cell]  2 Ti 2.02
F 0.1547 0.0000 0.7572 [4 per cell]  1 Ti 1.85

E_form (uncorrected)	-3.216	eV per atom

---

13.
Here is Na2TiF after structural relaxation from Alexandria via LeMat-Bulk. Energies are from PBE.

Cell lengths 7.3499, 7.3499, 7.3499 Å; angles 90.00, 90.00, 90.00 degrees
With the nearest neighbours (Å) after each atom.
Space group Fm-3m (No. 225)
Asymmetric unit:
Na 0.2500 0.2500 0.2500 [8 per cell]  4 F 3.18, 4 Ti 3.18
Ti 0.0000 0.0000 0.0000 [4 per cell]  8 Na 3.18
F 0.0000 0.0000 0.5000 [4 per cell]  8 Na 3.18

E_form (uncorrected)	0.097	eV per atom

---

14.
Here is Na3TiF8 after structural relaxation from Alexandria via LeMat-Bulk. Energies are from PBE.

Cell lengths 7.3043, 13.9201, 6.6647 Å; angles 90.00, 90.00, 90.00 degrees
With the nearest neighbours (Å) after each atom.
Space group Cmcm (No. 63)
Asymmetric unit:
Na 0.0000 0.1736 0.2500 [4 per cell]  4 F 2.35-2.49
Na 0.2494 0.0948 0.7500 [8 per cell]  6 F 2.20-2.46
Ti 0.0000 0.3467 0.7500 [4 per cell]  6 F 1.87-1.91
F 0.0000 0.0709 0.5297 [8 per cell]  1 F 2.01
F 0.0000 0.3456 0.0364 [8 per cell]  1 Ti 1.91
F 0.1821 0.4408 0.7500 [8 per cell]  1 Ti 1.87
F 0.1893 0.2534 0.7500 [8 per cell]  1 Ti 1.90

E_form (uncorrected)	-2.846	eV per atom

---

15.
Here is NaTiF2 after structural relaxation from Alexandria via LeMat-Bulk. Energies are from PBE.

Cell lengths 5.9660, 5.9660, 5.9660 Å; angles 90.00, 90.00, 90.00 degrees
With the nearest neighbours (Å) after each atom.
Space group Fm-3m (No. 225)
Asymmetric unit:
Na 0.0000 0.0000 0.0000 [4 per cell]  8 F 2.58
Ti 0.0000 0.0000 0.5000 [4 per cell]  8 F 2.58
F 0.2500 0.2500 0.2500 [8 per cell]  4 Na 2.58, 4 Ti 2.58

E_form (uncorrected)	-1.520	eV per atom

---

16.
Here is NaTi4F12 after structural relaxation from Alexandria via LeMat-Bulk. Energies are from PBE.

Cell lengths 7.8876, 7.9627, 7.9743 Å; angles 90.00, 90.00, 90.00 degrees
With the nearest neighbours (Å) after each atom.
Space group Immm (No. 71)
Asymmetric unit:
Na 0.0000 0.0000 0.0000 [2 per cell]  4 F 2.42
Ti 0.2500 0.2500 0.2500 [8 per cell]  6 F 1.99-2.03
F 0.0000 0.2700 0.2766 [8 per cell]  2 Ti 1.99
F 0.2086 0.2234 0.0000 [8 per cell]  2 Ti 2.03
F 0.2227 0.0000 0.2631 [8 per cell]  2 Ti 2.01

E_form (uncorrected)	-3.199	eV per atom

---

17.
Here is NaTi2F after structural relaxation from Alexandria via LeMat-Bulk. Energies are from PBE.

Cell lengths 6.5374, 6.5374, 6.5374 Å; angles 90.00, 90.00, 90.00 degrees
With the nearest neighbours (Å) after each atom.
Space group Fm-3m (No. 225)
Asymmetric unit:
Na 0.0000 0.0000 0.0000 [4 per cell]  8 Ti 2.83
Ti 0.2500 0.2500 0.2500 [8 per cell]  4 F 2.83, 4 Na 2.83
F 0.0000 0.0000 0.5000 [4 per cell]  8 Ti 2.83

E_form (uncorrected)	0.488	eV per atom

---

18.
Here is Na3TiF6 after structural relaxation from Alexandria via LeMat-Bulk. Energies are from PBE.

Cell lengths 8.3245, 8.3245, 8.3245 Å; angles 90.00, 90.00, 90.00 degrees
With the nearest neighbours (Å) after each atom.
Space group Fm-3m (No. 225)
Asymmetric unit:
Na 0.0000 0.0000 0.0000 [4 per cell]  6 F 2.19
Na 0.2500 0.2500 0.2500 [8 per cell]  12 F 2.95
Ti 0.0000 0.0000 0.5000 [4 per cell]  6 F 1.97
F 0.0000 0.0000 0.2630 [24 per cell]  1 Ti 1.97, 1 Na 2.19

E_form (uncorrected)	-2.916	eV per atom